Entry 1:
Density functional theory data (PBE) for a relaxed structure of Ti2BrF.

```
Ti2BrF
1.0
0.680 -4.069 -1.390
1.886 -2.912 2.630
-2.339 -3.282 1.646
F Br Ti
1 1 2
Direct
0.000 0.000 0.000
0.500 0.500 0.500
0.250 0.250 0.250
0.750 0.750 0.750
```

E_tot: -0.39494 Ry/atom
ΔE_f (raw): -208 kJ/mol of formula units
energy relative to the lowest polymorph listed for this composition: 0.74 eV/f.u.



Entry 2:
Density functional theory data (PBE) for a relaxed structure of TiBrF2.

```
TiBrF2
1.0
0.000 3.019 3.019
3.019 0.000 3.019
3.019 3.019 0.000
F Br Ti
2 1 1
Direct
0.250 0.250 0.250
0.750 0.750 0.750
0.500 0.500 0.500
0.000 0.000 0.000
```

E_tot: -0.34116 Ry/atom
ΔE_f (raw): -507 kJ/mol of formula units
energy relative to the lowest polymorph listed for this composition: 3.37 eV/f.u.



Entry 3:
Density functional theory data (PBE) for a relaxed structure of TiBr2F.

```
TiBr2F
1.0
2.070 0.000 7.890
-1.035 1.793 7.890
-1.035 -1.793 7.890
F Br Ti
1 2 1
Direct
0.000 0.000 0.000
0.901 0.901 0.901
0.099 0.099 0.099
0.500 0.500 0.500
```

E_tot: -0.31362 Ry/atom
ΔE_f (raw): -382 kJ/mol of formula units
energy relative to the lowest polymorph listed for this composition: 3.74 eV/f.u.



Entry 4:
Density functional theory data (PBE) for a relaxed structure of TiBr2F.

```
TiBr2F
1.0
2.155 0.000 8.141
-1.077 1.866 8.141
-1.077 -1.866 8.141
F Br Ti
1 2 1
Direct
0.500 0.500 0.500
0.906 0.906 0.906
0.094 0.094 0.094
0.000 0.000 0.000
```

E_tot: -0.26298 Ry/atom
ΔE_f (raw): -116 kJ/mol of formula units
energy relative to the lowest polymorph listed for this composition: 6.49 eV/f.u.



Quick rundown of mass density, same order as above: 5.54 5.00 4.28 3.83 Mg/m³